[1]
Crystalline ZnCoRu at its relaxed geometry, computed with PBE.

Energy above the most stable polymorph in this dataset ... 308.4 meV/atom
Calculated total energy ... -5.53 eV/atom
Formation enthalpy at 0 K ... 351 meV per atom
N(E_F) ... 4.3 states/eV/f.u.

Lattice parameters (Å, degrees): 3.9432 3.9432 3.9432 60.00 60.00 60.00
Site moments in Bohr magnetons follow the coordinates.
Element x y z (fractional)
Co1 0.7500 0.7500 0.7500  0.39
Zn1 0.5000 0.5000 0.5000  -0.01
Ru1 0.0000 0.0000 0.0000  0.48

[2]
Crystalline AlSn2RuN at its relaxed geometry, computed with PBE.

E_form (uncorrected) ... 0.267 eV/atom
Calculated total energy ... -5.60 eV/atom
N(E_F) ... 2.2 states/eV/f.u.

Lattice parameters (Å, degrees): 4.8955 3.5192 4.8955 90.00 90.00 90.00
Element x y z (fractional)
Ru1 0.5000 0.5000 0.5000
Al1 0.0000 0.5000 0.0000
Sn1 0.0000 0.0000 0.5000
Sn2 0.5000 0.0000 0.0000
N1 0.0000 0.0000 0.0000

[3]
Crystalline BaTiBe2Rh at its relaxed geometry, computed with PBE.

Calculated total energy ... -4.75 eV/atom
Formation enthalpy at 0 K ... 170 meV per atom
N(E_F) ... 4.2 states/eV/f.u.

Lattice parameters (Å, degrees): 4.6069 4.7104 4.6069 90.00 90.00 90.00
Element x y z (fractional)
Be1 0.0000 0.0000 0.5000
Be2 0.5000 0.0000 0.0000
Ba1 0.5000 0.5000 0.5000
Ti1 0.0000 0.5000 0.0000
Rh1 0.0000 0.0000 0.0000

[4]
Crystalline Y3HgO at its relaxed geometry, computed with PBE.

E_form (uncorrected) ... -1.160 eV/atom
Energy above the most stable polymorph in this dataset ... 241.0 meV/atom
Calculated total energy ... -6.09 eV/atom
N(E_F) ... 3.6 states/eV/f.u.

Lattice parameters (Å, degrees): 6.9769 6.9769 6.9769 58.03 58.03 58.03
Element x y z (fractional)
O1 0.1671 0.1671 0.1671
O2 0.8329 0.8329 0.8329
Y1 0.0118 0.1564 0.5864
Y2 0.8436 0.4136 0.9882
Y3 0.9882 0.8436 0.4136
Y4 0.5864 0.0118 0.1564
Y5 0.4136 0.9882 0.8436
Y6 0.1564 0.5864 0.0118
Hg1 0.5991 0.5991 0.5991
Hg2 0.4009 0.4009 0.4009

[5]
Crystalline Sc8Ga2Ru at its relaxed geometry, computed with PBE.

Calculated total energy ... -6.37 eV/atom
Formation enthalpy at 0 K ... -373 meV per atom
N(E_F) ... 12.1 states/eV/f.u.

Lattice parameters (Å, degrees): 4.8204 6.4742 8.4340 111.89 106.60 90.00
Element x y z (fractional)
Sc1 0.4060 0.5684 0.8119
Sc2 0.1952 0.2805 0.3905
Sc3 0.6557 0.9471 0.3115
Sc4 0.3443 0.0529 0.6885
Sc5 0.0163 0.7824 0.0326
Sc6 0.8048 0.7195 0.6095
Sc7 0.5940 0.4316 0.1881
Sc8 0.9837 0.2176 0.9674
Ga1 0.1758 0.6887 0.3516
Ga2 0.8242 0.3113 0.6484
Ru1 0.5000 0.0000 0.0000

[6]
Crystalline PaHgPbO4 at its relaxed geometry, computed with PBE.

E_form (uncorrected) ... -1.952 eV/atom
Calculated total energy ... -6.71 eV/atom
N(E_F) ... 0.9 states/eV/f.u.

Lattice parameters (Å, degrees): 6.7985 7.4030 7.1794 119.01 90.00 117.33
Element x y z (fractional)
O1 0.6974 0.9973 0.7486
O2 0.3071 0.6142 0.8321
O3 0.3026 0.0027 0.2514
O4 0.6929 0.3858 0.1679
O5 0.6929 0.3858 0.7178
O6 0.2999 0.9973 0.7486
O7 0.7001 0.0027 0.2514
O8 0.3071 0.6142 0.2822
Pa1 0.5000 0.0000 0.5000
Pa2 0.5000 0.0000 0.0000
Hg1 0.0000 0.5000 0.5000
Hg2 0.5000 0.5000 0.5000
Pb1 0.8459 0.6917 0.0959
Pb2 0.1541 0.3083 0.9041

[7]
Crystalline TcSeOF2 at its relaxed geometry, computed with PBE.

E_form (uncorrected) ... -0.630 eV/atom
Energy above the most stable polymorph in this dataset ... 0.0 meV/atom
Calculated total energy ... -5.14 eV/atom
N(E_F) ... 8.0 states/eV/f.u.

Lattice parameters (Å, degrees): 4.2824 4.2824 3.7587 90.00 90.00 90.00
Site moments in Bohr magnetons follow the coordinates.
Element x y z (fractional)
Tc1 0.0000 0.0000 0.0000  0.51
O1 0.0000 0.0000 0.5000  -0.03
Se1 0.5000 0.5000 0.5000  -0.03
F1 0.5000 0.0000 0.0000  0.01
F2 0.0000 0.5000 0.0000  0.01

[8]
Crystalline BeCo4Te at its relaxed geometry, computed with PBE.

E_form (uncorrected) ... 0.392 eV/atom
Calculated total energy ... -5.49 eV/atom
N(E_F) ... 8.2 states/eV/f.u.

Lattice parameters (Å, degrees): 4.7970 4.7970 4.7970 60.00 60.00 60.00
Site moments in Bohr magnetons follow the coordinates.
Element x y z (fractional)
Be1 0.0000 0.0000 0.0000  -0.06
Te1 0.7500 0.7500 0.7500  0.01
Co1 0.3742 0.8776 0.3742  1.54
Co2 0.3742 0.3742 0.8776  1.54
Co3 0.3742 0.3742 0.3742  1.54
Co4 0.8776 0.3742 0.3742  1.54